# 1
A relaxed structure of BaCuSeO4. Source: the Alexandria database, functional PBE. Values from VASP.

Summary:
Total energy ... -5.12 eV/atom

Structure (Quantum ESPRESSO input):
```
&SYSTEM
  ibrav = 0, nat = 7, ntyp = 4
/
ATOMIC_SPECIES
Ba 137.33 Ba.upf
Cu 63.55 Cu.upf
Se 78.96 Se.upf
O 16.00 O.upf
CELL_PARAMETERS angstrom
0.0000 4.2924 4.2924
4.2924 0.0000 4.2924
4.2924 4.2924 0.0000
ATOMIC_POSITIONS crystal
Ba 0.0000 0.0000 0.0000
Cu 0.7500 0.7500 0.7500
Se 0.5000 0.5000 0.5000
O 0.1357 0.6214 0.6214
O 0.6214 0.1357 0.6214
O 0.6214 0.6214 0.1357
O 0.6214 0.6214 0.6214
```

# 2
A relaxed structure of BaCuSe4O12. Source: the Alexandria database, functional PBE. Values from VASP.

Summary:
Total energy ... -4.77 eV/atom

Structure (Quantum ESPRESSO input):
```
&SYSTEM
  ibrav = 0, nat = 18, ntyp = 4
/
ATOMIC_SPECIES
Ba 137.33 Ba.upf
Cu 63.55 Cu.upf
Se 78.96 Se.upf
O 16.00 O.upf
CELL_PARAMETERS angstrom
5.4815 0.0000 0.0000
0.0000 5.4815 0.0000
0.0000 0.0000 7.6069
ATOMIC_POSITIONS crystal
Ba 0.0000 0.0000 0.0000
Cu 0.5000 0.5000 0.5000
Se 0.0000 0.5000 0.2588
Se 0.0000 0.5000 0.7412
Se 0.5000 0.0000 0.2588
Se 0.5000 0.0000 0.7412
O 0.0000 0.5000 0.0000
O 0.0000 0.5000 0.5000
O 0.2594 0.2594 0.2744
O 0.2594 0.2594 0.7256
O 0.2594 0.7406 0.2744
O 0.2594 0.7406 0.7256
O 0.5000 0.0000 0.0000
O 0.5000 0.0000 0.5000
O 0.7406 0.2594 0.2744
O 0.7406 0.2594 0.7256
O 0.7406 0.7406 0.2744
O 0.7406 0.7406 0.7256
```

# 3
A relaxed structure of BaCuSe2O6. Source: the Alexandria database, functional PBE. Values from VASP.

Summary:
Total energy ... -5.34 eV/atom
Distance to the lowest polymorph of the same formula ... 0.246 eV/atom

Structure (Quantum ESPRESSO input):
```
&SYSTEM
  ibrav = 0, nat = 10, ntyp = 4
/
ATOMIC_SPECIES
Ba 137.33 Ba.upf
Cu 63.55 Cu.upf
Se 78.96 Se.upf
O 16.00 O.upf
CELL_PARAMETERS angstrom
2.8066 1.6204 5.8251
-2.8066 1.6204 5.8251
0.0000 -3.2408 5.8251
ATOMIC_POSITIONS crystal
Ba 0.0000 0.0000 0.0000
Cu 0.5000 0.5000 0.5000
Se 0.2698 0.2698 0.2698
Se 0.7302 0.7302 0.7302
O 0.0795 0.5060 0.7061
O 0.2939 0.9205 0.4940
O 0.4940 0.2939 0.9205
O 0.5060 0.7061 0.0795
O 0.7061 0.0795 0.5060
O 0.9205 0.4940 0.2939
```

# 4
A relaxed structure of BaCuSe2O6. Source: the Alexandria database, functional PBE. Values from VASP.

Summary:
Total energy ... -5.58 eV/atom
Distance to the lowest polymorph of the same formula ... 0.000 eV/atom

Structure (Quantum ESPRESSO input):
```
&SYSTEM
  ibrav = 0, nat = 20, ntyp = 4
/
ATOMIC_SPECIES
Ba 137.33 Ba.upf
Cu 63.55 Cu.upf
Se 78.96 Se.upf
O 16.00 O.upf
CELL_PARAMETERS angstrom
4.1844 -2.6259 0.0000
4.1844 2.6259 0.0000
-0.3315 0.0000 15.9961
ATOMIC_POSITIONS crystal
Ba 0.0358 0.9642 0.7500
Ba 0.9642 0.0358 0.2500
Cu 0.0000 0.0000 0.0000
Cu 0.0000 0.0000 0.5000
Se 0.3621 0.3653 0.9092
Se 0.3653 0.3621 0.4092
Se 0.6347 0.6379 0.5908
Se 0.6379 0.6347 0.0908
O 0.1733 0.7539 0.4017
O 0.2461 0.8267 0.0983
O 0.2618 0.6863 0.5785
O 0.2713 0.3617 0.8061
O 0.3137 0.7382 0.9215
O 0.3617 0.2713 0.3061
O 0.6383 0.7287 0.6939
O 0.6863 0.2618 0.0785
O 0.7287 0.6383 0.1939
O 0.7382 0.3137 0.4215
O 0.7539 0.1733 0.9017
O 0.8267 0.2461 0.5983
```

# 5
A relaxed structure of Ba2CuSi2O7. Source: the Alexandria database, functional PBE. Values from VASP.

Summary:
Total energy ... -6.99 eV/atom
Distance to the lowest polymorph of the same formula ... 0.012 eV/atom

Structure (Quantum ESPRESSO input):
```
&SYSTEM
  ibrav = 0, nat = 24, ntyp = 4
/
ATOMIC_SPECIES
Ba 137.33 Ba.upf
Cu 63.55 Cu.upf
Si 28.09 Si.upf
O 16.00 O.upf
CELL_PARAMETERS angstrom
4.3571 -5.2928 0.0000
4.3571 5.2928 0.0000
-2.9138 0.0000 8.1118
ATOMIC_POSITIONS crystal
Ba 0.1889 0.2699 0.4709
Ba 0.2699 0.1889 0.9709
Ba 0.7301 0.8111 0.0291
Ba 0.8111 0.7301 0.5291
Cu 0.2583 0.7417 0.2500
Cu 0.7417 0.2583 0.7500
Si 0.1553 0.6177 0.8585
Si 0.3823 0.8447 0.6415
Si 0.6177 0.1553 0.3585
Si 0.8447 0.3823 0.1415
O 0.0145 0.7819 0.8650
O 0.0283 0.3798 0.7556
O 0.2181 0.9855 0.6350
O 0.3012 0.6177 0.0366
O 0.3275 0.6725 0.7500
O 0.3798 0.0283 0.2556
O 0.3823 0.6988 0.4634
O 0.6177 0.3012 0.5366
O 0.6202 0.9717 0.7444
O 0.6725 0.3275 0.2500
O 0.6988 0.3823 0.9634
O 0.7819 0.0145 0.3650
O 0.9717 0.6202 0.2444
O 0.9855 0.2181 0.1350
```

# 6
A relaxed structure of Ba2CuSi2O7. Source: the Alexandria database, functional PBE. Values from VASP.

Summary:
Total energy ... -7.00 eV/atom
Distance to the lowest polymorph of the same formula ... 0.000 eV/atom

Structure (Quantum ESPRESSO input):
```
&SYSTEM
  ibrav = 0, nat = 24, ntyp = 4
/
ATOMIC_SPECIES
Ba 137.33 Ba.upf
Cu 63.55 Cu.upf
Si 28.09 Si.upf
O 16.00 O.upf
CELL_PARAMETERS angstrom
8.4174 0.0000 0.0000
0.0000 8.4174 0.0000
0.0000 0.0000 5.3541
ATOMIC_POSITIONS crystal
Ba 0.1672 0.3328 0.4912
Ba 0.3328 0.8328 0.5088
Ba 0.6672 0.1672 0.5088
Ba 0.8328 0.6672 0.4912
Cu 0.0000 0.0000 0.0000
Cu 0.5000 0.5000 0.0000
Si 0.1341 0.6341 0.9758
Si 0.3659 0.1341 0.0242
Si 0.6341 0.8659 0.0242
Si 0.8659 0.3659 0.9758
O 0.0000 0.5000 0.8698
O 0.0789 0.8022 0.8440
O 0.1339 0.6339 0.2778
O 0.1978 0.0789 0.1560
O 0.3022 0.5789 0.8440
O 0.3661 0.1339 0.7222
O 0.4211 0.3022 0.1560
O 0.5000 0.0000 0.1302
O 0.5789 0.6978 0.1560
O 0.6339 0.8661 0.7222
O 0.6978 0.4211 0.8440
O 0.8022 0.9211 0.1560
O 0.8661 0.3661 0.2778
O 0.9211 0.1978 0.8440
```

# 7
A relaxed structure of BaCuSi2O6. Source: the Alexandria database, functional PBE. Values from VASP.

Summary:
Total energy ... -7.10 eV/atom
Distance to the lowest polymorph of the same formula ... 0.000 eV/atom

Structure (Quantum ESPRESSO input):
```
&SYSTEM
  ibrav = 0, nat = 80, ntyp = 4
/
ATOMIC_SPECIES
Ba 137.33 Ba.upf
Cu 63.55 Cu.upf
Si 28.09 Si.upf
O 16.00 O.upf
CELL_PARAMETERS angstrom
-5.0310 5.0310 11.4759
5.0310 -5.0310 11.4759
5.0310 5.0310 -11.4759
ATOMIC_POSITIONS crystal
Ba 0.0138 0.5002 0.0140
Ba 0.2498 0.2362 0.4860
Ba 0.2502 0.7362 0.9865
Ba 0.4862 0.9998 0.9860
Ba 0.5138 0.4998 0.5135
Ba 0.7498 0.2638 0.0135
Ba 0.7502 0.7638 0.5140
Ba 0.9862 0.0002 0.4865
Cu 0.0667 0.5667 0.5000
Cu 0.1829 0.6829 0.5000
Cu 0.3167 0.3167 0.0000
Cu 0.4329 0.4329 0.0000
Cu 0.5667 0.0667 0.5000
Cu 0.6829 0.1829 0.5000
Cu 0.8167 0.8167 0.0000
Cu 0.9329 0.9329 0.0000
Si 0.0992 0.3740 0.7225
Si 0.1240 0.9015 0.7749
Si 0.1267 0.3492 0.2251
Si 0.1515 0.8740 0.2749
Si 0.3483 0.1230 0.2223
Si 0.3730 0.0983 0.7223
Si 0.3759 0.6506 0.2777
Si 0.4006 0.6230 0.7747
Si 0.5992 0.8767 0.7251
Si 0.6240 0.8492 0.2225
Si 0.6267 0.4015 0.7775
Si 0.6515 0.3767 0.2775
Si 0.8483 0.6259 0.2253
Si 0.8730 0.1506 0.2747
Si 0.8759 0.5983 0.7253
Si 0.9006 0.1259 0.7777
O 0.0084 0.8508 0.2254
O 0.0162 0.2708 0.0011
O 0.0208 0.5197 0.7546
O 0.0331 0.3755 0.2746
O 0.1008 0.7584 0.7254
O 0.1255 0.3508 0.8424
O 0.1272 0.8975 0.1563
O 0.1475 0.8772 0.6563
O 0.2209 0.4912 0.3437
O 0.2310 0.7299 0.2470
O 0.2339 0.2329 0.2530
O 0.2412 0.3975 0.7703
O 0.2586 0.5292 0.6568
O 0.2651 0.0197 0.4989
O 0.2697 0.0151 0.9989
O 0.2792 0.1224 0.7706
O 0.3518 0.5086 0.2294
O 0.3724 0.0292 0.2706
O 0.3741 0.7170 0.7257
O 0.3985 0.6241 0.1571
O 0.4670 0.2414 0.8429
O 0.4799 0.7329 0.9989
O 0.4829 0.9839 0.7530
O 0.4914 0.2170 0.3429
O 0.5084 0.2831 0.1576
O 0.5162 0.5151 0.7454
O 0.5208 0.7662 0.5011
O 0.5331 0.2584 0.6576
O 0.6008 0.8755 0.3424
O 0.6255 0.7831 0.7746
O 0.6272 0.4709 0.2297
O 0.6475 0.9912 0.2703
O 0.7209 0.3772 0.7297
O 0.7310 0.4839 0.5011
O 0.7339 0.4810 0.0011
O 0.7412 0.9709 0.8437
O 0.7586 0.1018 0.7294
O 0.7651 0.2662 0.2454
O 0.7697 0.7708 0.2546
O 0.7792 0.0086 0.1568
O 0.8518 0.6224 0.8432
O 0.8724 0.6018 0.3432
O 0.8741 0.1485 0.6571
O 0.8985 0.7414 0.7743
O 0.9670 0.1241 0.2257
O 0.9799 0.9810 0.7470
O 0.9829 0.2299 0.4989
O 0.9914 0.6485 0.2743
```

# 8
A relaxed structure of BaCuSi2O6. Source: the Alexandria database, functional PBE. Values from VASP.

Summary:
Total energy ... -7.09 eV/atom
Distance to the lowest polymorph of the same formula ... 0.009 eV/atom

Structure (Quantum ESPRESSO input):
```
&SYSTEM
  ibrav = 0, nat = 20, ntyp = 4
/
ATOMIC_SPECIES
Ba 137.33 Ba.upf
Cu 63.55 Cu.upf
Si 28.09 Si.upf
O 16.00 O.upf
CELL_PARAMETERS angstrom
-3.5931 3.5931 5.5918
3.5931 -3.5931 5.5918
3.5931 3.5931 -5.5918
ATOMIC_POSITIONS crystal
Ba 0.2500 0.7500 0.5000
Ba 0.7500 0.2500 0.5000
Cu 0.1217 0.1217 0.0000
Cu 0.8783 0.8783 0.0000
Si 0.2738 0.2738 0.5477
Si 0.2738 0.7262 0.0000
Si 0.7262 0.2738 0.0000
Si 0.7262 0.7262 0.4523
O 0.0674 0.0674 0.3850
O 0.0674 0.6824 0.0000
O 0.2352 0.5000 0.7352
O 0.3176 0.3176 0.3850
O 0.3176 0.9326 0.0000
O 0.5000 0.2352 0.7352
O 0.5000 0.7648 0.2648
O 0.6824 0.0674 0.0000
O 0.6824 0.6824 0.6150
O 0.7648 0.5000 0.2648
O 0.9326 0.3176 0.0000
O 0.9326 0.9326 0.6150
```

# 9
A relaxed structure of Ba2SmCu2O6. Source: the Alexandria database, functional PBE. Values from VASP.

Summary:
Total energy ... -6.10 eV/atom

Structure (Quantum ESPRESSO input):
```
&SYSTEM
  ibrav = 0, nat = 11, ntyp = 4
/
ATOMIC_SPECIES
Ba 137.33 Ba.upf
Sm 150.36 Sm.upf
Cu 63.55 Cu.upf
O 16.00 O.upf
CELL_PARAMETERS angstrom
3.0389 1.7545 5.9787
-3.0389 1.7545 5.9787
0.0000 -3.5090 5.9787
ATOMIC_POSITIONS crystal
Ba 0.2122 0.2122 0.2122
Ba 0.7878 0.7878 0.7878
Sm 0.0000 0.0000 0.0000
Cu 0.4229 0.4229 0.4229
Cu 0.5771 0.5771 0.5771
O 0.2317 0.7512 0.7512
O 0.2488 0.2488 0.7683
O 0.2488 0.7683 0.2488
O 0.7512 0.2317 0.7512
O 0.7512 0.7512 0.2317
O 0.7683 0.2488 0.2488
```

# 10
A relaxed structure of BaSmCu2O4. Source: the Alexandria database, functional PBE. Values from VASP.

Summary:
Total energy ... -6.25 eV/atom

Structure (Quantum ESPRESSO input):
```
&SYSTEM
  ibrav = 0, nat = 8, ntyp = 4
/
ATOMIC_SPECIES
Ba 137.33 Ba.upf
Sm 150.36 Sm.upf
Cu 63.55 Cu.upf
O 16.00 O.upf
CELL_PARAMETERS angstrom
4.0246 0.0000 0.0000
0.0000 4.0246 0.0000
0.0000 0.0000 7.0145
ATOMIC_POSITIONS crystal
Ba 0.0000 0.0000 0.0000
Sm 0.0000 0.0000 0.5000
Cu 0.5000 0.5000 0.2895
Cu 0.5000 0.5000 0.7105
O 0.0000 0.5000 0.2858
O 0.0000 0.5000 0.7142
O 0.5000 0.0000 0.2858
O 0.5000 0.0000 0.7142
```

# 11
A relaxed structure of Ba2Sm2Ti2Cu2O11. Source: the Alexandria database, functional PBE. Values from VASP.

Summary:
Total energy ... -7.45 eV/atom

Structure (Quantum ESPRESSO input):
```
&SYSTEM
  ibrav = 0, nat = 19, ntyp = 5
/
ATOMIC_SPECIES
Ba 137.33 Ba.upf
Sm 150.36 Sm.upf
Ti 47.87 Ti.upf
Cu 63.55 Cu.upf
O 16.00 O.upf
CELL_PARAMETERS angstrom
3.9245 0.0000 0.0000
0.0000 3.9245 0.0000
0.0000 0.0000 16.0078
ATOMIC_POSITIONS crystal
Ba 0.0000 0.0000 0.2333
Ba 0.0000 0.0000 0.7667
Sm 0.0000 0.0000 0.0000
Sm 0.0000 0.0000 0.5000
Ti 0.5000 0.5000 0.3753
Ti 0.5000 0.5000 0.6247
Cu 0.5000 0.5000 0.1041
Cu 0.5000 0.5000 0.8959
O 0.0000 0.5000 0.0934
O 0.0000 0.5000 0.3890
O 0.0000 0.5000 0.6110
O 0.0000 0.5000 0.9066
O 0.5000 0.0000 0.0934
O 0.5000 0.0000 0.3890
O 0.5000 0.0000 0.6110
O 0.5000 0.0000 0.9066
O 0.5000 0.5000 0.2586
O 0.5000 0.5000 0.5000
O 0.5000 0.5000 0.7414
```

# 12
A relaxed structure of BaCuSnO2. Source: the Alexandria database, functional PBE. Values from VASP.

Summary:
Total energy ... -4.23 eV/atom

Structure (Quantum ESPRESSO input):
```
&SYSTEM
  ibrav = 0, nat = 5, ntyp = 4
/
ATOMIC_SPECIES
Ba 137.33 Ba.upf
Cu 63.55 Cu.upf
Sn 118.71 Sn.upf
O 16.00 O.upf
CELL_PARAMETERS angstrom
4.2112 0.0000 0.0000
0.0000 4.2112 0.0000
0.0000 0.0000 7.0206
ATOMIC_POSITIONS crystal
Ba 0.0000 0.0000 0.0000
Cu 0.5000 0.5000 0.0000
Sn 0.0000 0.0000 0.5000
O 0.0000 0.5000 0.5000
O 0.5000 0.0000 0.5000
```

Energy relative to the elements, uncorrected list, top to bottom, in eV per atom: -0.9323; -0.3564; -1.0616; -1.3079; -2.5333; -2.5456; -2.4410; -2.4317; -1.8722; -1.9157; -2.6195; -0.2464